First-principles (PBE) data for a geometry-optimized Dy3Ga2Ag structure, as listed in the Alexandria database.

a = 3.489 Å, b = 3.489 Å, c = 11.424 Å
α = 90.00°, β = 90.00°, γ = 90.00°
Atoms (fractional coordinates):
1 Dy 0.000 0.000 0.000
2 Dy 0.000 0.000 0.329
3 Dy 0.000 0.000 0.671
4 Ga 0.500 0.500 0.169
5 Ga 0.500 0.500 0.831
6 Ag 0.500 0.500 0.500

energy above the lowest structure with this stoichiometry: 3.5 meV per atom
DFT formation energy: -0.489 eV/atom
space-group type: P4/mmm
crystal system: tetragonal
total energy: -4.275 eV per atom